(1)
Material: Y8P3PtSe4
Method: DFT, PBE
State: relaxed

## Properties
- SG: No. 166

a = 8.115 Å, b = 8.179 Å, c = 8.115 Å
α = 119.74°, β = 120.00°, γ = 90.00°
Positions (direct):
Y 0.246 0.733 0.987
Y 0.246 0.733 0.491
Y 0.257 0.272 0.515
Y 0.741 0.733 0.987
Y 0.259 0.267 0.013
Y 0.743 0.728 0.485
Y 0.754 0.267 0.509
Y 0.754 0.267 0.013
P 0.500 0.500 0.000
P 0.500 0.500 0.500
P 0.000 0.500 0.500
Pt 0.000 0.500 0.000
Se 0.500 0.000 0.000
Se 0.500 0.000 0.500
Se 0.000 0.000 0.000
Se 0.000 0.000 0.500

(2)
Material: ZrPPtSe2
Method: DFT, PBE
State: relaxed

## Properties
- SG: No. 123

a = 4.712 Å, b = 4.955 Å, c = 4.712 Å
α = 90.00°, β = 90.00°, γ = 90.00°
Positions (direct):
P 0.000 0.000 0.000
Se 0.000 0.000 0.500
Se 0.500 0.000 0.000
Zr 0.000 0.500 0.000
Pt 0.500 0.500 0.500

(3)
Material: Si2PPt
Method: DFT, PBE
State: relaxed

## Properties
- SG: No. 65

a = 2.929 Å, b = 2.929 Å, c = 7.088 Å
α = 90.00°, β = 90.00°, γ = 104.47°
Positions (direct):
P 0.500 0.500 0.250
Pt 0.500 0.500 0.750
Si 0.000 0.000 0.006
Si 0.000 0.000 0.494

Number 1: formation energy (no corrections) -2607 kJ/mol of formula units. Number 2: formation energy (no corrections) 226 kJ/mol of formula units. Number 3: formation energy (no corrections) 66 kJ/mol of formula units.